1.
DFT (PBE) results for an optimized crystal structure of CsTmHf.

Excess energy over the best structure of this formula in the dataset ... 0.0 kJ per mole of atoms
Total energy ... -41.42 eV for the cell shown
Size of the total moment ... 16.9 Bohr magnetons per cell

a = 8.021 Å, b = 8.021 Å, c = 8.021 Å
α = 90.00°, β = 90.00°, γ = 90.00°
Space group F-43m (No. 216)
Unique sites:
Cs1 0.000 0.000 0.000
Tm1 0.000 0.000 0.500
Hf1 0.250 0.250 0.250



2.
DFT (PBE) results for an optimized crystal structure of GdGa2PtAu.

Excess energy over the best structure of this formula in the dataset ... 3.4 kJ per mole of atoms
Total energy ... -47.79 eV for the cell shown
Size of the total moment ... 0.0 Bohr magnetons per cell

a = 4.202 Å, b = 4.202 Å, c = 10.999 Å
α = 90.00°, β = 90.00°, γ = 90.00°
Space group P4/nmm (No. 129, origin choice 2)
Unique sites:
Gd1 0.250 0.250 0.241
Ga1 0.250 0.250 0.871
Ga2 0.250 0.750 0.500
Pt1 0.250 0.750 0.000
Au1 0.250 0.250 0.644



3.
DFT (PBE) results for an optimized crystal structure of ScCu5Ge2.

Total energy ... -35.20 eV for the cell shown
Size of the total moment ... 0.0 Bohr magnetons per cell

a = 4.129 Å, b = 4.129 Å, c = 6.523 Å
α = 90.00°, β = 90.00°, γ = 90.00°
Space group P4/mmm (No. 123)
Unique sites:
Sc1 0.000 0.000 0.000
Cu1 0.000 0.500 0.278
Cu2 0.500 0.500 0.500
Ge1 0.000 0.000 0.500
Ge2 0.500 0.500 0.000



4.
DFT (PBE) results for an optimized crystal structure of Nb4CoSiC2.

Total energy ... -74.18 eV for the cell shown
Size of the total moment ... 0.6 Bohr magnetons per cell

a = 3.1487 Å, b = 3.1487 Å, c = 12.7840 Å
α = 90.00°, β = 90.00°, γ = 120.00°
Space group P-6m2 (No. 187)
Unique sites:
Nb1 0.0000 0.0000 0.1496
Nb2 0.3333 0.6667 0.3455
Co1 0.3333 0.6667 0.0000
Si1 0.0000 0.0000 0.5000
C1 0.6667 0.3333 0.2468



5.
DFT (PBE) results for an optimized crystal structure of LiPd2Au.

Total energy ... -66.82 eV for the cell shown

a = 6.286 Å, b = 6.286 Å, c = 6.286 Å
α = 90.00°, β = 90.00°, γ = 90.00°
Space group F-43m (No. 216)
Unique sites:
Li1 0.000 0.000 0.000
Pd1 0.000 0.000 0.500
Pd2 0.250 0.250 0.750
Au1 0.250 0.250 0.250



6.
DFT (PBE) results for an optimized crystal structure of ErTmSi4Os2.

Total energy ... -58.84 eV for the cell shown
Size of the total moment ... 0.0 Bohr magnetons per cell

a = 4.398 Å, b = 4.075 Å, c = 8.105 Å
α = 90.00°, β = 101.84°, γ = 90.00°
Space group Pm (No. 6)
Unique sites:
Er1 0.000 0.000 0.000
Tm1 0.820 0.500 0.594
Si1 0.074 0.500 0.292
Si2 0.375 0.000 0.710
Si3 0.447 0.500 0.886
Si4 0.748 0.000 0.303
Os1 0.298 0.000 0.415
Os2 0.525 0.500 0.181



7.
DFT (PBE) results for an optimized crystal structure of TlCu17.

Excess energy over the best structure of this formula in the dataset ... 0.0 kJ per mole of atoms
Total energy ... -128.15 eV for the cell shown

a = 5.0926 Å, b = 5.0926 Å, c = 31.7567 Å
α = 90.00°, β = 90.00°, γ = 120.00°
Space group P-3m1 (No. 164)
Unique sites:
Tl1 0.3333 0.6667 0.2969
Cu1 0.0000 0.0000 0.0000
Cu2 0.0000 0.0000 0.1964
Cu3 0.0000 0.5000 0.0000
Cu4 0.0022 0.5011 0.1965
Cu5 0.1664 0.3328 0.1309
Cu6 0.1665 0.3330 0.9347
Cu7 0.1668 0.3335 0.7385
Cu8 0.3333 0.6667 0.0655
Cu9 0.3333 0.6667 0.8692



8.
DFT (PBE) results for an optimized crystal structure of TmPdPt.

Excess energy over the best structure of this formula in the dataset ... 16.8 kJ per mole of atoms
Total energy ... -69.94 eV for the cell shown
Energy relative to the elements ... -0.59 eV per atom
Size of the total moment ... 0.0 Bohr magnetons per cell

a = 6.394 Å, b = 6.394 Å, c = 6.394 Å
α = 90.00°, β = 90.00°, γ = 90.00°
Space group F-43m (No. 216)
Unique sites:
Tm1 0.000 0.000 0.000
Pd1 0.250 0.250 0.750
Pt1 0.250 0.250 0.250



9.
DFT (PBE) results for an optimized crystal structure of MgPaSi.

Excess energy over the best structure of this formula in the dataset ... 0.0 kJ per mole of atoms
Total energy ... -64.64 eV for the cell shown
Size of the total moment ... 4.1 Bohr magnetons per cell

a = 6.553 Å, b = 6.553 Å, c = 6.553 Å
α = 90.00°, β = 90.00°, γ = 90.00°
Space group F-43m (No. 216)
Unique sites:
Mg1 0.000 0.000 0.000
Pa1 0.000 0.000 0.500
Si1 0.250 0.250 0.250



10.
DFT (PBE) results for an optimized crystal structure of NbAg2Ir.

Total energy ... -95.33 eV for the cell shown
Energy relative to the elements ... 0.19 eV per atom
Size of the total moment ... 0.0 Bohr magnetons per cell

a = 6.450 Å, b = 6.450 Å, c = 6.450 Å
α = 90.00°, β = 90.00°, γ = 90.00°
Space group F-43m (No. 216)
Unique sites:
Nb1 0.000 0.000 0.000
Ag1 0.000 0.000 0.500
Ag2 0.250 0.250 0.750
Ir1 0.250 0.250 0.250



11.
DFT (PBE) results for an optimized crystal structure of Ac2Ni2P.

Total energy ... -105.48 eV for the cell shown
Size of the total moment ... 0.0 Bohr magnetons per cell

a = 3.839 Å, b = 15.994 Å, c = 7.734 Å
α = 90.00°, β = 90.00°, γ = 90.00°
Space group Cmcm (No. 63)
Unique sites:
Ac1 0.000 0.105 0.007
Ni1 0.000 0.265 0.600
P1 0.000 0.494 0.250



12.
DFT (PBE) results for an optimized crystal structure of CoGeOs.

Excess energy over the best structure of this formula in the dataset ... 0.0 kJ per mole of atoms
Total energy ... -88.12 eV for the cell shown
Size of the total moment ... 8.5 Bohr magnetons per cell

a = 5.764 Å, b = 5.764 Å, c = 5.764 Å
α = 90.00°, β = 90.00°, γ = 90.00°
Space group F-43m (No. 216)
Unique sites:
Co1 0.000 0.000 0.000
Ge1 0.000 0.000 0.500
Os1 0.250 0.250 0.250